Record 1
## KRb3H8Pt2 (PBE-GGA)

Data for crystalline KRb3H8Pt2 at its relaxed geometry.

The space group is P-3m1 (No. 164) and the conventional cell measures 6.0762, 6.0762 and 8.6612 Å, with angles of 90.00, 90.00 and 120.00 degrees. The distinct sites, in fractional coordinates, are K at (0.0000, 0.0000, 0.0000), Rb at (0.0000, 0.0000, 0.5000), Rb at (0.3333, 0.6667, 0.2159), H at (0.2152, 0.4303, 0.8582), H at (0.3333, 0.6667, 0.5381) and Pt at (0.3333, 0.6667, 0.7341).

The value obtained for the total energy is -3.1106 eV/atom.

Record 2
## YW (PBE-GGA)

Data for crystalline YW at its relaxed geometry.

The space group is Cm (No. 8) and the conventional cell measures 11.671, 3.420 and 7.251 Å, with angles of 90.00, 108.32 and 90.00 degrees. The distinct sites, in fractional coordinates, are Y at (0.000, 0.000, 0.000), Y at (0.010, 0.000, 0.477), Y at (0.305, 0.000, 0.639), W at (0.181, 0.500, 0.862), W at (0.190, 0.500, 0.290) and W at (0.296, 0.000, 0.128).

The formation energy comes out at 424 meV/atom. The calculation puts the energy above the lowest structure with this stoichiometry at 176.6 meV per atom.

Record 3
## TiS2F2 (PBE-GGA)

Data for crystalline TiS2F2 at its relaxed geometry.

The space group is I4/mmm (No. 139) and the conventional cell measures 3.116, 3.116 and 18.201 Å, with angles of 90.00, 90.00 and 90.00 degrees. The distinct sites, in fractional coordinates, are Ti at (0.000, 0.000, 0.000), S at (0.000, 0.500, 0.250) and F at (0.000, 0.000, 0.438).

The calculation puts the energy above the lowest structure with this stoichiometry at 572.8 meV per atom. The raw formation energy comes out at -991.0 meV per atom.